# Cu3TeBr

Crystalline Cu3TeBr at its relaxed geometry (GGA-PBE, the Alexandria database).

Summary:
For the uncorrected energy, the calculation gives -2.826 eV/atom. Its polymorph energy (0 for the lowest one) is 313 meV/atom. The space group is No. 221. The uncorrected formation energy comes out at 287 kJ/mol of formula units.

a = 4.7461 Å, b = 4.7461 Å, c = 4.7461 Å
α = 90.00°, β = 90.00°, γ = 90.00°
Atoms (fractional coordinates):
Cu  0.0000  0.0000  0.5000
Cu  0.0000  0.5000  0.0000
Cu  0.5000  0.0000  0.0000
Te  0.5000  0.5000  0.5000
Br  0.0000  0.0000  0.0000

=====

# Hf2MgNbTc

Crystalline Hf2MgNbTc at its relaxed geometry (GGA-PBE, the Alexandria database).

Summary:
For the energy of formation, the calculation gives 1.028 eV/atom. For the uncorrected energy, the calculation gives -7.360 eV/atom. The space group is No. 123.

a = 5.1133 Å, b = 4.6872 Å, c = 5.1133 Å
α = 90.00°, β = 90.00°, γ = 90.00°
Each line ends with the local moment (μB).
Atoms (fractional coordinates):
Hf  0.5000  0.0000  0.0000  -0.02
Hf  0.0000  0.0000  0.5000  -0.01
Nb  0.0000  0.0000  0.0000  0.00
Mg  0.5000  0.5000  0.5000  0.00
Tc  0.0000  0.5000  0.0000  0.25

=====

# In5AgSe8

Crystalline In5AgSe8 at its relaxed geometry (GGA-PBE, the Alexandria database).

Summary:
For the uncorrected energy, the calculation gives -3.674 eV/atom. Its polymorph energy (0 for the lowest one) is 0 meV/atom. The space group is No. 5. The uncorrected formation energy comes out at -677 kJ/mol of formula units.

a = 7.2547 Å, b = 7.2547 Å, c = 8.4302 Å
α = 89.78°, β = 89.78°, γ = 109.12°
Atoms (fractional coordinates):
Se  0.3798  0.6444  0.7519
Se  0.8908  0.6162  0.0199
Se  0.8912  0.1692  0.2506
Se  0.8885  0.6218  0.4822
Se  0.8308  0.1088  0.7494
Se  0.3556  0.6202  0.2481
Se  0.3838  0.1092  0.9801
Se  0.3782  0.1115  0.5178
In  0.5129  0.4871  0.0000
In  0.9875  0.0125  0.5000
In  0.9869  0.4849  0.7565
In  0.5151  0.0131  0.2435
In  0.5025  0.4975  0.5000
Ag  0.9962  0.0038  0.0000

=====

Magnetic moment? In order: 0.0; 0.2; 0.0 μB per formula unit.
D(E_F)? In order: 0.2; 6.1; 0.3 states/eV/cell.